1.
Compound: NbHgBr2
Source: Alexandria
Functional: PBE
Structure: relaxed

Results
Total magnetization = 0.00 Bohr magnetons per cell
Offset from the most stable computed form = 0 meV/atom
Crystal system = triclinic
ΔE_f (raw) = -2.04 eV/f.u.

Lattice parameters (Å, degrees): 7.8509 7.8992 18.8576 79.55 78.34 83.93
With the nearest neighbours (Å) after each atom.
Space group P-1 (No. 2)
One atom of each set of equivalent atoms:
Nb: 0.0610 0.1950 0.2996 [2 per cell]  4 Br 2.61-2.91, 3 Nb 2.65-2.91
Nb: 0.2925 0.4236 0.1939 [2 per cell]  3 Br 2.60-2.66, 3 Nb 2.63-2.91
Nb: 0.2963 0.0706 0.1866 [2 per cell]  3 Br 2.53-2.58, 3 Nb 2.77-2.81
Nb: 0.3998 0.1952 0.2981 [2 per cell]  3 Br 2.63-2.75, 3 Nb 2.63-2.77
Hg: 0.1054 0.8423 0.9747 [2 per cell]  2 Hg 2.98-3.03
Hg: 0.1719 0.8674 0.3867 [2 per cell]  1 Hg 2.89, 1 Nb 2.95
Hg: 0.3354 0.6457 0.8669 [2 per cell]  1 Nb 2.95, 1 Hg 2.98
Hg: 0.3567 0.6292 0.4859 [2 per cell]  2 Hg 2.89-2.94
Br: 0.0134 0.0195 0.7778 [2 per cell]  2 Nb 2.53-2.61
Br: 0.0392 0.4963 0.7628 [2 per cell]  2 Nb 2.61-2.62
Br: 0.1542 0.2729 0.4165 [2 per cell]  2 Nb 2.65-2.75
Br: 0.2941 0.3019 0.0709 [2 per cell]  2 Nb 2.58-2.66
Br: 0.2965 0.8447 0.6239 [2 per cell]  2 Nb 2.91-3.01
Br: 0.3446 0.7732 0.1122 [2 per cell]  2 Nb 2.90-2.93
Br: 0.4343 0.0673 0.7604 [2 per cell]  2 Nb 2.58-2.63
Br: 0.4350 0.5296 0.2897 [2 per cell]  2 Nb 2.60-2.66


2.
Compound: Nb4HgBr7
Source: Alexandria
Functional: PBE
Structure: relaxed

Results
Total magnetization = 0.00 Bohr magnetons per cell
Crystal system = monoclinic
ΔE_f (raw) = -5.32 eV/f.u.

Lattice parameters (Å, degrees): 4.9750 18.5867 8.7586 90.00 90.16 90.00
With the nearest neighbours (Å) after each atom.
Space group P2_1/m (No. 11)
One atom of each set of equivalent atoms:
Nb: 0.1848 0.0010 0.3704 [4 per cell]  2 Nb 2.58-2.72, 3 Br 2.63-2.80
Nb: 0.2148 0.0964 0.5842 [4 per cell]  2 Nb 2.58-2.72, 4 Br 2.61-2.65
Hg: 0.2861 0.7500 0.9602 [2 per cell]  8 Br 3.91-4.19
Br: 0.2076 0.1379 0.2947 [4 per cell]  2 Nb 2.63-2.65
Br: 0.2245 0.2500 0.6789 [2 per cell]  2 Nb 2.97, 4 Br 3.26-3.29
Br: 0.2376 0.0191 0.8367 [4 per cell]  2 Nb 2.64-2.80
Br: 0.2806 0.6382 0.3751 [4 per cell]  3 Nb 2.61-2.65


3.
Compound: NbHgBr5
Source: Alexandria
Functional: PBE
Structure: relaxed

Results
Total magnetization = 0.00 Bohr magnetons per cell
Crystal system = orthorhombic
ΔE_f (raw) = -4.60 eV/f.u.

Lattice parameters (Å, degrees): 8.9818 9.9666 12.4225 90.00 90.00 90.00
With the nearest neighbours (Å) after each atom.
Space group Imma (No. 74)
One atom of each set of equivalent atoms:
Nb: 0.0000 0.0000 0.0000 [4 per cell]  6 Br 2.50-2.68
Hg: 0.0000 0.2500 0.3565 [4 per cell]  7 Br 3.44-3.83
Br: 0.0000 0.0746 0.8081 [8 per cell]  1 Nb 2.50
Br: 0.0000 0.2500 0.0792 [4 per cell]  2 Nb 2.68
Br: 0.2209 0.0000 0.5000 [8 per cell]  1 Nb 2.51


4.
Compound: NbHgBr2
Source: Alexandria
Functional: PBE
Structure: relaxed

Results
Total magnetization = 0.00 Bohr magnetons per cell
Offset from the most stable computed form = 522 meV/atom
Crystal system = trigonal
ΔE_f (raw) = 0.05 eV/f.u.

Lattice parameters (Å, degrees): 3.4623 3.4623 34.9812 90.00 90.00 120.00
With the nearest neighbours (Å) after each atom.
Space group R-3m (No. 166, hexagonal axes)
One atom of each set of equivalent atoms:
Nb: 0.0000 0.0000 0.0000 [3 per cell]  2 Br 2.42
Hg: 0.0000 0.0000 0.5000 [3 per cell]  6 Hg 3.46
Br: 0.0000 0.0000 0.0693 [6 per cell]  1 Nb 2.42